No. 1
Material: Sr3LaNp2N6
Method: DFT, PBE-GGA
State: relaxed

Cell and atoms, written as extended XYZ:
```
12
Lattice="-0.129 2.483 -2.649 2.074 -5.083 -4.865 -7.848 -1.665 1.313" Properties=species:S:1:pos:R:3 pbc="T T T"
Sr 0.973 -1.300 -3.757
Sr -4.972 0.107 -2.149
Sr -0.931 -4.372 -4.053
N 0.085 -1.336 -1.257
N -1.809 -1.761 -4.054
N -2.431 0.456 -1.946
N -3.473 -4.721 -4.256
N -4.094 -2.504 -2.148
N -5.988 -2.928 -4.945
Np -3.922 -2.420 -4.569
Np -1.981 -1.845 -1.633
La -0.064 1.242 -1.325
```

Values from the calculation:
Space-group type ... C2/m
Uncorrected formation energy ... -1.05 eV per atom

No. 2
Material: Mg4PBr
Method: DFT, PBE-GGA
State: relaxed

Cell and atoms, written as extended XYZ:
```
6
Lattice="4.907 -1.683 2.518 1.869 2.680 4.751 -0.152 -2.710 5.088" Properties=species:S:1:pos:R:3 pbc="T T T"
Mg 2.420 -1.982 7.165
Mg 4.916 -1.475 5.897
Mg 2.495 -0.645 4.654
Mg 3.417 0.678 6.999
Br 0.000 0.000 0.000
P 4.968 -1.284 9.268
```

Values from the calculation:
Space-group type ... F-43m
Uncorrected formation energy ... 0.09 eV per atom

No. 3
Material: U3C2S2
Method: DFT, PBE-GGA
State: relaxed

Cell and atoms, written as extended XYZ:
```
7
Lattice="-0.890 3.631 0.616 -5.797 -0.979 -2.606 1.224 -2.692 5.982" Properties=species:S:1:pos:R:3 pbc="T T T"
C -3.914 0.594 2.495
C -1.549 -0.634 1.498
U -1.768 1.014 3.118
U -3.695 -1.055 0.874
U 0.000 0.000 0.000
S -5.093 0.842 -0.673
S -0.370 -0.883 4.665
```

Values from the calculation:
Space-group type ... C2/m
Uncorrected formation energy ... -0.67 eV per atom

The highest uncorrected formation energy belongs to which entry?
Mg4PBr

Among the records above, which one has the highest uncorrected formation energy?
Mg4PBr

The lowest uncorrected formation energy belongs to which entry?
Sr3LaNp2N6